Computed, not measured: an optimized crystal structure of LaNd4Zn at the GGA-PBE level of DFT.

For the energy above the lowest structure with this stoichiometry, the calculation gives 0.084 eV/atom.

The space group is C2/c (No. 15) and the conventional cell measures 9.157, 13.841 and 6.480 Å, with angles of 90.00, 109.11 and 90.00 degrees. The asymmetric unit holds La at (0.000, 0.097, 0.250), Nd at (0.103, 0.320, 0.553), Nd at (0.225, 0.108, 0.870) and Zn at (0.000, 0.500, 0.250).



Computed, not measured: an optimized crystal structure of LaNd4Zn at the GGA-PBE level of DFT.

For the energy above the lowest structure with this stoichiometry, the calculation gives 0.000 eV/atom.

The space group is P4/mmm (No. 123) and the conventional cell measures 3.703, 3.703 and 14.105 Å, with angles of 90.00, 90.00 and 90.00 degrees. The asymmetric unit holds La at (0.000, 0.000, 0.000), Nd at (0.000, 0.000, 0.372), Nd at (0.500, 0.500, 0.186) and Zn at (0.500, 0.500, 0.500).



Computed, not measured: an optimized crystal structure of La6Nd2Zn at the GGA-PBE level of DFT.

For the energy above the lowest structure with this stoichiometry, the calculation gives 0.000 eV/atom.

The space group is Amm2 (No. 38) and the conventional cell measures 3.773, 16.912 and 9.774 Å, with angles of 90.00, 90.00 and 90.00 degrees. The asymmetric unit holds La at (0.000, 0.000, 0.000), La at (0.000, 0.131, 0.605), La at (0.500, 0.000, 0.360), La at (0.500, 0.188, 0.925), Nd at (0.000, 0.167, 0.237) and Zn at (0.500, 0.000, 0.737).



Computed, not measured: an optimized crystal structure of La2Nd2Zn3 at the GGA-PBE level of DFT.

The total energy comes out at -3.504 eV per atom.

The space group is P-1 (No. 2) and the conventional cell measures 5.182, 5.189 and 8.968 Å, with angles of 73.28, 73.26 and 60.12 degrees. The asymmetric unit holds La at (0.128, 0.130, 0.114), Nd at (0.378, 0.378, 0.366), Zn at (0.000, 0.000, 0.500) and Zn at (0.255, 0.254, 0.736).



Computed, not measured: an optimized crystal structure of La2Nd3Zn2 at the GGA-PBE level of DFT.

For the energy above the lowest structure with this stoichiometry, the calculation gives 0.041 eV/atom.

The space group is C2/m (No. 12) and the conventional cell measures 12.006, 4.827 and 8.284 Å, with angles of 90.00, 115.75 and 90.00 degrees. The asymmetric unit holds La at (0.141, 0.000, 0.302), Nd at (0.000, 0.500, 0.500), Nd at (0.135, 0.500, 0.973) and Zn at (0.141, 0.000, 0.694).



Computed, not measured: an optimized crystal structure of La6NdZn5 at the GGA-PBE level of DFT.

The total energy comes out at -3.602 eV per atom.

The space group is P2/m (No. 10) and the conventional cell measures 5.320, 7.704 and 8.583 Å, with angles of 90.00, 108.06 and 90.00 degrees. The asymmetric unit holds La at (0.000, 0.218, 0.000), La at (0.325, 0.245, 0.647), Nd at (0.500, 0.500, 0.000), Zn at (0.149, 0.500, 0.301), Zn at (0.166, 0.000, 0.336) and Zn at (0.500, 0.000, 0.000).



Number 1: DOS at the Fermi energy 35.91 states/eV/cell. Number 2: DOS at the Fermi energy 7.45 states/eV/cell. Number 3: DOS at the Fermi energy 30.74 states/eV/cell. Number 4: DOS at the Fermi energy 9.89 states/eV/cell. Number 5: DOS at the Fermi energy 18.73 states/eV/cell. Number 6: DOS at the Fermi energy 14.08 states/eV/cell.